# 1
Below is a geometry-optimized CaU2F11 structure, with properties calculated at the PBE-GGA level.

Summary:
SG: Ibam (72)
Calculated volume: 244 Å³/f.u.
Size of the total moment: 6.0 μB per cell
Formation energy (no corrections): -3.67 eV/atom

Geometry as extended XYZ:
```
28
Lattice="-4.266 5.186 5.520 4.266 -5.186 5.520 4.266 5.186 -5.520" Properties=species:S:1:pos:R:3 pbc="T T T"
Ca 0.000 0.000 2.760
Ca 0.000 0.000 8.280
U 5.563 1.890 0.000
U 1.298 3.297 0.000
U 2.968 1.890 5.520
U -1.298 3.297 5.520
F 4.266 0.000 0.000
F 5.045 -3.297 3.995
F 1.938 -0.757 1.484
F 5.045 3.297 -1.524
F 6.593 0.757 1.484
F 3.146 2.201 0.000
F 3.146 -2.201 5.520
F 2.327 4.430 -1.484
F 0.779 1.890 1.524
F 1.938 0.757 4.036
F 5.045 3.297 1.524
F 0.000 5.186 0.000
F -0.779 1.890 3.995
F 2.327 4.430 1.484
F 3.486 3.297 3.995
F 1.938 0.757 7.004
F 1.120 7.387 0.000
F 1.120 2.986 5.520
F -2.327 4.430 4.036
F -0.779 1.890 7.044
F 2.327 5.943 4.036
F -0.779 8.483 1.524
```

=====

# 2
Below is a geometry-optimized ZrTlCu structure, with properties calculated at the PBE-GGA level.

Summary:
SG: Pnma (62)
Energy of formation: 0.05 eV per atom
Calculated volume: 62 Å³/f.u.
Size of the total moment: 0.0 μB per cell

Geometry as extended XYZ:
```
12
Lattice="8.918 0.000 0.000 0.000 4.357 0.000 0.000 0.000 6.389" Properties=species:S:1:pos:R:3 pbc="T T T"
Zr 1.064 1.089 1.435
Zr 3.395 3.268 4.629
Zr 5.523 1.089 1.760
Zr 7.855 3.268 4.954
Tl 1.141 1.089 4.834
Tl 3.318 3.268 1.640
Tl 5.601 1.089 4.749
Tl 7.777 3.268 1.554
Cu 1.068 3.268 3.171
Cu 3.391 1.089 6.365
Cu 5.527 3.268 0.023
Cu 7.850 1.089 3.218
```

=====

# 3
Below is a geometry-optimized ZrInSe2 structure, with properties calculated at the PBE-GGA level.

Summary:
SG: P3m1 (156)
Calculated volume: 123 Å³/f.u.
Size of the total moment: 1.0 μB per cell
Formation energy (no corrections): -0.64 eV/atom

Geometry as extended XYZ:
```
4
Lattice="4.035 0.000 0.000 -2.018 3.495 0.000 0.000 0.000 8.755" Properties=species:S:1:pos:R:3 pbc="T T T"
Zr 0.000 0.000 0.000
In 2.018 1.165 4.273
Se 0.000 0.000 2.536
Se 0.000 2.330 7.476
```